16
Lattice="-4.492 -2.984 1.680 4.642 -5.274 3.047 -0.030 2.743 4.794" Properties=species:S:1:pos:R:3 comment="GGA+U CoPdSeO, optimized geometry" sg="Pca2_1 (29)" e_tot_ev_per_atom=-4.976 de_polymorph_ev_per_atom=0.064 pbc="T T T"
Pd -1.164 -1.518 4.309
Pd 3.234 -2.471 4.882
Pd 1.297 -5.139 3.214
Pd -3.101 -4.186 2.642
Co 1.518 -5.228 6.507
Co 0.345 -7.388 4.554
Co -0.213 0.782 3.057
Co -1.385 -1.379 1.104
Se 0.177 -0.616 6.146
Se -1.036 -3.282 7.664
Se 1.147 -1.354 3.392
Se -0.066 -4.019 4.910
O 3.447 -4.636 4.248
O 2.731 -3.730 6.907
O -2.610 -1.799 2.587
O -3.326 -0.893 5.246